The following is a DFT calculation (PBE with a Hubbard U) of crystalline TmVBrO4 at its relaxed geometry.

Properties
- Magnetization: 0.000 μB/f.u.
- SG: No. 12
- Crystal system: monoclinic

Lattice parameters (Å, degrees): 6.6835 6.6835 6.6981 78.27 78.27 55.86
With the nearest neighbours (Å) after each atom.
Element x y z (fractional)
Tm 0.2943 0.2943 0.8441  6 O 2.18-2.38
Tm 0.7057 0.7057 0.1559  6 O 2.18-2.38
V 0.6315 0.6315 0.7394  4 O 1.71-1.79
V 0.3685 0.3685 0.2606  4 O 1.71-1.79
Br 0.0270 0.0270 0.3238  1 Br 2.30
Br 0.9730 0.9730 0.6762  1 Br 2.30
O 0.3020 0.3020 0.5155  1 V 1.71
O 0.6980 0.6980 0.4845  1 V 1.71
O 0.1066 0.5358 0.1233  1 V 1.79
O 0.5161 0.5161 0.2294  1 V 1.71
O 0.4642 0.8934 0.8767  1 V 1.79
O 0.5358 0.1066 0.1233  1 V 1.79
O 0.4839 0.4839 0.7706  1 V 1.71
O 0.8934 0.4642 0.8767  1 V 1.79

---

The following is a DFT calculation (PBE with a Hubbard U) of crystalline TmWBrO4 at its relaxed geometry.

Properties
- Magnetization: 0.000 μB/f.u.
- SG: No. 12
- Crystal system: monoclinic
- DOS at the Fermi energy: 0.000 states/eV/atom

Lattice parameters (Å, degrees): 6.3874 6.3874 6.9584 75.37 75.37 68.92
With the nearest neighbours (Å) after each atom.
Element x y z (fractional)
Tm 0.2306 0.2306 0.8772  4 O 2.25-2.27
Tm 0.7694 0.7694 0.1228  4 O 2.25-2.27
W 0.6343 0.6343 0.7360  4 O 1.80-1.83
W 0.3657 0.3657 0.2640  4 O 1.80-1.83
Br 0.0108 0.0108 0.2426  2 Tm 2.87-2.91, 1 O 3.19
Br 0.9892 0.9892 0.7574  2 Tm 2.87-2.91, 1 O 3.19
O 0.3025 0.3025 0.5348  1 W 1.80
O 0.6975 0.6975 0.4652  1 W 1.80
O 0.1045 0.4939 0.1561  1 W 1.83
O 0.5464 0.5464 0.1872  1 W 1.81
O 0.5061 0.8955 0.8439  1 W 1.83
O 0.4939 0.1045 0.1561  1 W 1.83
O 0.4536 0.4536 0.8128  1 W 1.81
O 0.8955 0.5061 0.8439  1 W 1.83

---

The following is a DFT calculation (PBE with a Hubbard U) of crystalline TmWBrO4 at its relaxed geometry.

Properties
- Magnetization: 0.000 μB/f.u.
- SG: No. 2
- Crystal system: triclinic
- DOS at the Fermi energy: 0.000 states/eV/atom

Lattice parameters (Å, degrees): 6.9326 7.2582 11.1280 100.57 110.59 95.21
With the nearest neighbours (Å) after each atom.
Element x y z (fractional)
Tm 0.6722 0.0941 0.7323  4 O 2.17-2.36
Tm 0.3278 0.9059 0.2677  4 O 2.17-2.36
Tm 0.3698 0.6716 0.7611  6 O 2.19-2.35
Tm 0.6302 0.3284 0.2389  6 O 2.19-2.35
W 0.7121 0.8112 0.1319  4 O 1.80-1.87
W 0.2879 0.1888 0.8681  4 O 1.80-1.87
W 0.7418 0.5833 0.6215  4 O 1.80-1.89
W 0.2582 0.4167 0.3785  4 O 1.80-1.89
Br 0.2696 0.0642 0.5105  2 Tm 2.91-2.96, 3 O 3.15-3.25, 1 W 3.17
Br 0.7304 0.9358 0.4895  2 Tm 2.91-2.96, 3 O 3.15-3.25, 1 W 3.17
Br 0.2010 0.7341 0.9924  2 Tm 2.87-3.16, 2 O 3.15-3.18
Br 0.7990 0.2659 0.0076  2 Tm 2.87-3.16, 2 O 3.15-3.18
O 0.6354 0.7417 0.9558  1 W 1.80
O 0.3646 0.2583 0.0442  1 W 1.80
O 0.9904 0.8862 0.1995  1 W 1.80
O 0.0096 0.1138 0.8005  1 W 1.80
O 0.6607 0.6129 0.1996  1 W 1.81
O 0.3393 0.3871 0.8004  1 W 1.81
O 0.3980 0.9904 0.7962  1 W 1.87
O 0.6020 0.0096 0.2038  1 W 1.87
O 0.0191 0.6458 0.6631  1 W 1.80
O 0.9809 0.3542 0.3369  1 W 1.80
O 0.7283 0.3857 0.6975  1 W 1.80
O 0.2717 0.6143 0.3025  1 W 1.80
O 0.6322 0.4730 0.4400  1 W 1.87
O 0.3678 0.5270 0.5600  1 W 1.87
O 0.6667 0.7827 0.7221  1 W 1.89
O 0.3333 0.2173 0.2779  1 W 1.89

---

Total energy in eV per formula unit, matching the order above: -49.09; -49.77; -49.87
Mass density in g/cm3, matching the order above: 5.01; 6.54; 6.50